(1)
Below is an optimized crystal structure of HAuSe2, with properties calculated at the GGA-PBE level.

Output
Its space group is I-42d. The excess energy over the best structure of this formula in the dataset comes out at 0.0 meV per atom.

a b c (Å): 5.583 5.583 6.156
angles (deg): 63.04 63.04 90.00
Fractional coordinates of all 8 atoms:
H  0.500  0.500  0.000
H  0.250  0.750  0.500
Au  0.000  0.000  0.000
Au  0.750  0.250  0.500
Se  0.553  0.125  0.250
Se  0.197  0.625  0.250
Se  0.375  0.447  0.750
Se  0.875  0.803  0.750


(2)
Below is an optimized crystal structure of Sc4Al2Zn, with properties calculated at the GGA-PBE level.

Output
Its space group is I4/mmm. As for the formation energy from the elements: 0.9 eV/f.u. The excess energy over the best structure of this formula in the dataset comes out at 376.8 meV per atom.

a b c (Å): 4.989 4.989 7.742
angles (deg): 71.21 71.21 90.00
Fractional coordinates of all 7 atoms:
Sc  0.188  0.188  0.625
Sc  0.812  0.812  0.375
Sc  0.000  0.500  0.000
Sc  0.500  0.000  0.000
Zn  0.000  0.000  0.000
Al  0.390  0.390  0.220
Al  0.610  0.610  0.780


(3)
Below is an optimized crystal structure of TeMoIrI2, with properties calculated at the GGA-PBE level.

Output
Its space group is P4/mmm. The excess energy over the best structure of this formula in the dataset comes out at 303.2 meV per atom. Its uncorrected formation energy is 137 kJ per mole of atoms.

a b c (Å): 5.469 5.469 5.201
angles (deg): 90.00 90.00 90.00
Each line ends with the local moment (μB).
Fractional coordinates of all 5 atoms:
I  0.000  0.500  0.000  0.07
I  0.500  0.000  0.000  0.07
Mo  0.000  0.000  0.000  -1.32
Ir  0.500  0.500  0.500  2.10
Te  0.000  0.000  0.500  0.13


(4)
Below is an optimized crystal structure of SnNF2, with properties calculated at the GGA-PBE level.

Output
Its space group is R-3m. The excess energy over the best structure of this formula in the dataset comes out at 1215.1 meV per atom. Its uncorrected formation energy is 24 kJ per mole of atoms.

a b c (Å): 8.762 8.762 8.762
angles (deg): 21.47 21.47 21.47
Each line ends with the local moment (μB).
Fractional coordinates of all 4 atoms:
N  0.500  0.500  0.500  1.92
Sn  0.000  0.000  0.000  0.01
F  0.923  0.923  0.923  0.01
F  0.077  0.077  0.077  0.01


(5)
Below is an optimized crystal structure of AsPdF2, with properties calculated at the GGA-PBE level.

Output
Its space group is Fm-3m. The excess energy over the best structure of this formula in the dataset comes out at 381.6 meV per atom. Its uncorrected formation energy is -44 kJ per mole of atoms.

a b c (Å): 4.215 4.215 4.215
angles (deg): 60.00 60.00 60.00
Fractional coordinates of all 4 atoms:
As  0.000  0.000  0.000
Pd  0.500  0.500  0.500
F  0.250  0.250  0.250
F  0.750  0.750  0.750


(6)
Below is an optimized crystal structure of Ho2Hg9Pb, with properties calculated at the GGA-PBE level.

Output
Its space group is P4/mmm. As for the formation energy from the elements: -2.4 eV/f.u.

a b c (Å): 4.593 4.593 14.281
angles (deg): 90.00 90.00 90.00
Fractional coordinates of all 12 atoms:
Ho  0.000  0.000  0.331
Ho  0.000  0.000  0.669
Hg  0.500  0.500  0.000
Hg  0.500  0.500  0.344
Hg  0.500  0.500  0.656
Hg  0.500  0.000  0.177
Hg  0.500  0.000  0.500
Hg  0.500  0.000  0.823
Hg  0.000  0.500  0.177
Hg  0.000  0.500  0.500
Hg  0.000  0.500  0.823
Pb  0.000  0.000  0.000


What are the volume values for these records? In order: 18.40 24.50 31.12 19.73 13.24 25.10 A^3/atom.